VASP calculation (GGA+U) on an optimized crystal structure of V2IF.

a b c (Å): 4.765 4.765 4.765
angles (deg): 60.00 60.00 60.00
Positions (direct):
V 0.250 0.250 0.250
V 0.750 0.750 0.750
I 0.000 0.000 0.000
F 0.500 0.500 0.500

## Properties
The total moment comes out at 8.0 Bohr magnetons per cell. For the density of states at the Fermi level, the calculation gives 0.16 states/eV/atom. The polymorph energy (0 for the lowest one) comes out at 379 meV/atom. The calculation puts the total DFT energy (no corrections) at -4.4097 eV/atom.